No. 1
Here is ScCu2Ni after structural relaxation from the Alexandria database. Energies are from PBE-GGA.

abc: 5.050 8.894 2.783
angles: 90.00 116.28 90.00
Fractional coordinates of all 8 atoms:
1 Sc 0.000 0.000 0.000
2 Sc 0.500 0.500 0.000
3 Cu 0.250 0.250 0.500
4 Cu 0.250 0.750 0.500
5 Cu 0.750 0.250 0.500
6 Cu 0.750 0.750 0.500
7 Ni 0.000 0.500 0.000
8 Ni 0.500 0.000 0.000

Values from the calculation:
Calculated total energy (Ry/atom): -0.37404
Symmetry: C2/m, No. 12
ΔH_f (0 K) (meV/atom): -13
Theoretical density (Mg/m³): 6.84
N(E_F) (states/eV/cell): 3.72

---

No. 2
Here is BeSn2Os2 after structural relaxation from the Alexandria database. Energies are from PBE-GGA.

abc: 7.614 7.614 3.064
angles: 90.00 90.00 90.00
Fractional coordinates of all 10 atoms:
1 Be 0.000 0.000 0.000
2 Be 0.500 0.500 0.000
3 Sn 0.151 0.349 0.000
4 Sn 0.349 0.849 0.000
5 Sn 0.651 0.151 0.000
6 Sn 0.849 0.651 0.000
7 Os 0.148 0.648 0.500
8 Os 0.352 0.148 0.500
9 Os 0.648 0.852 0.500
10 Os 0.852 0.352 0.500

Values from the calculation:
Calculated total energy (Ry/atom): -0.44605
Symmetry: P4/mbm, No. 127
ΔH_f (0 K) (meV/atom): 769
Theoretical density (Mg/m³): 11.72
N(E_F) (states/eV/cell): 4.75

---

No. 3
Here is Sm2SbSe2 after structural relaxation from the Alexandria database. Energies are from PBE-GGA.

abc: 7.425 7.425 6.843
angles: 111.11 111.11 94.12
Fractional coordinates of all 10 atoms:
1 Sm 0.098 0.902 0.750
2 Sm 0.323 0.677 0.250
3 Sm 0.677 0.323 0.750
4 Sm 0.902 0.098 0.250
5 Sb 0.382 0.618 0.750
6 Sb 0.618 0.382 0.250
7 Se 0.077 0.281 0.035
8 Se 0.281 0.077 0.535
9 Se 0.719 0.923 0.465
10 Se 0.923 0.719 0.965

Values from the calculation:
Calculated total energy (Ry/atom): -0.39390
Symmetry: C2/c, No. 15
Formation energy without anion corrections (eV per atom): -1.25
Theoretical density (Mg/m³): 6.03
N(E_F) (states/eV/cell): 5.03

---

- calculated total energy of number 1 (ScCu2Ni)?
  -0.37404 Ry/atom

---

- Among the records above, which one has the lowest N(E_F)?
  ScCu2Ni

---

- Which of these has the highest calculated total energy?
  ScCu2Ni

---

- theoretical density of number 1 (ScCu2Ni)?
  6.84 Mg/m³